Here is a relaxed structure of CrFeW2 from Alexandria via LeMat-Bulk. Energies are from PBE-GGA. Values from VASP.

- total moment (μB/f.u.) = 0.001
- energy relative to the elements (eV/atom) = 0.881
- SG = I-42d (122)

The structure in Quantum ESPRESSO input format:
```
&SYSTEM
  ibrav = 0, nat = 16, ntyp = 3
/
ATOMIC_SPECIES
Cr 52.00 Cr.upf
Fe 55.84 Fe.upf
W 183.84 W.upf
ATOMIC_POSITIONS angstrom
Cr 0.000 0.000 0.000
Cr 0.000 3.370 1.294
Cr 3.370 0.000 3.883
Cr 3.370 3.370 2.589
Fe 0.000 0.000 2.589
Fe 0.000 3.370 3.883
Fe 3.370 0.000 1.294
Fe 3.370 3.370 0.000
W 1.600 5.056 3.236
W 1.685 1.600 1.942
W 1.685 1.770 4.530
W 1.770 5.056 0.647
W 4.970 1.685 0.647
W 5.056 4.970 4.530
W 5.056 5.141 1.942
W 5.141 1.685 3.236
CELL_PARAMETERS angstrom
6.741 0.000 0.000
0.000 6.741 0.000
0.000 0.000 5.178
```